4
Lattice="3.011 0.000 0.000 0.000 3.011 0.000 0.000 0.000 5.737" Properties=species:S:1:pos:R:3 comment="Mn2TcW SCAN single point on PBEsol structure" dos_ef_per_ev_fu=2.7 total_energy_ev_per_cell=-141.31 spacegroup="P4mm, No. 99" ef_mev_per_atom=-14 m_tot_mub_per_fu=3.1 de_polymorph_ev_per_fu=0.00 pbc="T T T"
Mn 0.000 0.000 0.000
Mn 1.505 1.505 1.358
Tc 0.000 0.000 2.745
W 1.505 1.505 4.359